Entry 1:
A plane-wave DFT calculation with PBE-GGA was carried out for crystalline P3N at its relaxed geometry.

a b c (Å): 4.3760 3.4609 4.7235
angles (deg): 90.00 102.29 90.00
Last column: nearest neighbours and their distance in Å.
Space group Pm (No. 6)
Asymmetric unit:
P (0.0000, 0.0000, 0.0000)  1 N 1.58
P (0.0992, 0.5000, 0.3397)  4 P 2.33-2.34
P (0.2985, 0.0000, 0.6541)  1 N 1.58
N (0.6549, 0.0000, 0.8101)  2 P 1.58

The energy above the most stable polymorph in this dataset comes out at 0.045 eV per atom. The total energy comes out at -5.89 eV/atom. Its density of states at the Fermi level is 0.372 states/eV/atom. The value obtained for the formation energy (no corrections) is 0.25 eV per atom.

=====

Entry 2:
A plane-wave DFT calculation with PBE-GGA was carried out for crystalline PN at its relaxed geometry.

a b c (Å): 2.2286 3.3832 3.5920
angles (deg): 89.11 79.47 90.00
Last column: nearest neighbours and their distance in Å.
Space group P-1 (No. 2)
Asymmetric unit:
P (0.0000, 0.0000, 0.0000)  2 N 1.69
N (0.0000, 0.5000, 0.0000)  2 P 1.69

The energy above the most stable polymorph in this dataset comes out at 0.997 eV per atom. The total energy comes out at -5.89 eV/atom. Its density of states at the Fermi level is 0.175 states/eV/atom. The value obtained for the formation energy (no corrections) is 0.98 eV per atom.

=====

- What is the formula in the first record?
  P3N